1.
The following is a PBE calculation of a relaxed structure of Ni2PAu, from the Alexandria database.

The structure in POSCAR format:
```
Ni2PAu
1.0
-2.855 1.716 4.272
-0.181 -0.385 5.400
0.478 3.013 4.477
Ni Au P
2 1 1
direct
0.722 0.722 0.722 Ni
0.278 0.278 0.278 Ni
0.500 0.500 0.500 Au
0.000 0.000 0.000 P
```

Results
Formation enthalpy at 0 K in eV/atom: -0.165
DFT total energy in eV/cell: -20.91
D(E_F) in states/eV per atom: 0.47
Spin magnetization in μB/cell: 0.00
Symmetry: No. 166

***

2.
The following is a PBE calculation of a relaxed structure of ErZrAgAu, from the Alexandria database.

The structure in POSCAR format:
```
ErZrAgAu
1.0
4.966 0.000 0.000
2.483 4.301 0.000
2.483 1.434 4.055
Au Zr Er Ag
1 1 1 1
direct
0.750 0.750 0.750 Au
0.000 0.000 0.000 Zr
0.500 0.500 0.500 Er
0.250 0.250 0.250 Ag
```

Results
Formation enthalpy at 0 K in eV/atom: -0.361
DFT total energy in eV/cell: -20.68
D(E_F) in states/eV per atom: 1.20
Spin magnetization in μB/cell: 1.00
Symmetry: No. 216

***

3.
The following is a PBE calculation of a relaxed structure of NbGa6Ag, from the Alexandria database.

The structure in POSCAR format:
```
NbGa6Ag
1.0
-3.656 -3.115 0.144
1.637 -4.350 -1.219
0.124 -6.140 6.047
Ga Ag Nb
6 1 1
direct
0.373 0.860 0.692 Ga
0.706 0.706 0.926 Ga
0.627 0.140 0.308 Ga
0.860 0.373 0.692 Ga
0.140 0.627 0.308 Ga
0.294 0.294 0.074 Ga
0.500 0.500 0.500 Ag
0.000 0.000 0.000 Nb
```

Results
Formation enthalpy at 0 K in eV/atom: 0.074
DFT total energy in eV/cell: -30.49
D(E_F) in states/eV per atom: 0.49
Spin magnetization in μB/cell: 0.50
Symmetry: No. 12

***

4.
The following is a PBE calculation of a relaxed structure of NaWN3, from the Alexandria database.

The structure in POSCAR format:
```
NaWN3
1.0
-3.874 0.139 -0.863
-0.592 -3.303 2.123
-0.644 2.200 3.243
N Na W
3 1 1
direct
0.000 0.000 0.500 N
0.500 0.000 0.000 N
0.000 0.500 0.000 N
0.500 0.500 0.500 Na
0.000 0.000 0.000 W
```

Results
DFT total energy in eV/cell: -38.48
D(E_F) in states/eV per atom: 0.67
Spin magnetization in μB/cell: 0.36
Symmetry: No. 221